1.
The following is a PBE-GGA calculation of a relaxed structure of AgPbO3, from the Open Quantum Materials Database.

Properties
Calculated volume: 13.77 A^3/atom
Final energy: -4.6176 eV per atom

a = 5.8394 Å, b = 5.8394 Å, c = 13.9898 Å
α = 90.00°, β = 90.00°, γ = 120.00°
Space group R-3c (No. 167, hexagonal axes)
Asymmetric unit:
Ag  0.0000  0.0000  0.2500
Pb  0.0000  0.0000  0.0000
O  0.0000  0.3663  0.2500

***

2.
The following is a PBE-GGA calculation of a relaxed structure of Ga2CoCu4Ni, from the Open Quantum Materials Database.

Properties
Calculated volume: 12.03 A^3/atom
Final energy: -4.2304 eV per atom

a = 4.078 Å, b = 4.078 Å, c = 5.787 Å
α = 90.00°, β = 90.00°, γ = 90.00°
Space group P4/mmm (No. 123)
Asymmetric unit:
Ga  0.000  0.000  0.000
Ga  0.500  0.500  0.500
Co  0.000  0.000  0.500
Cu  0.000  0.500  0.249
Ni  0.500  0.500  0.000

***

3.
The following is a PBE-GGA calculation of a relaxed structure of CoH, from the Open Quantum Materials Database.

Properties
Calculated volume: 6.79 A^3/atom
Final energy: -4.6344 eV per atom

a = 2.380 Å, b = 2.380 Å, c = 2.395 Å
α = 90.00°, β = 90.00°, γ = 90.00°
Space group P4/mmm (No. 123)
Asymmetric unit:
Co  0.000  0.000  0.000
H  0.500  0.500  0.500

***

4.
The following is a PBE-GGA calculation of a relaxed structure of NdDyGe4Os2, from the Open Quantum Materials Database.

Properties
Calculated volume: 20.37 A^3/atom
Final energy: -6.7660 eV per atom

a = 4.508 Å, b = 4.431 Å, c = 8.403 Å
α = 90.00°, β = 103.90°, γ = 90.00°
Space group Pm (No. 6)
Asymmetric unit:
Nd  0.000  0.000  0.000
Dy  0.214  0.500  0.419
Ge  0.278  0.000  0.706
Ge  0.561  0.500  0.118
Ge  0.645  0.000  0.295
Ge  0.922  0.500  0.702
Os  0.487  0.500  0.822
Os  0.713  0.000  0.587

***

5.
The following is a PBE-GGA calculation of a relaxed structure of RbNbSn, from the Open Quantum Materials Database.

Properties
Calculated volume: 31.02 A^3/atom
Polymorph energy (0 for the lowest one): 0.000 eV/atom

a = 7.194 Å, b = 7.194 Å, c = 7.194 Å
α = 90.00°, β = 90.00°, γ = 90.00°
Space group F-43m (No. 216)
Asymmetric unit:
Rb  0.000  0.000  0.000
Nb  0.250  0.250  0.250
Sn  0.000  0.000  0.500

***

6.
The following is a PBE-GGA calculation of a relaxed structure of BaGdZn4, from the Open Quantum Materials Database.

Properties
Calculated volume: 23.20 A^3/atom
Final energy: -2.1590 eV per atom

a = 4.569 Å, b = 7.798 Å, c = 7.815 Å
α = 90.00°, β = 90.00°, γ = 90.00°
Space group Imm2 (No. 44)
Asymmetric unit:
Ba  0.000  0.000  0.000
Gd  0.000  0.500  0.069
Zn  0.000  0.181  0.381
Zn  0.000  0.287  0.714

***

7.
The following is a PBE-GGA calculation of a relaxed structure of TmInPbSe3, from the Open Quantum Materials Database.

Properties
Calculated volume: 27.90 A^3/atom
Polymorph energy (0 for the lowest one): 0.025 eV/atom

a = 17.997 Å, b = 4.031 Å, c = 9.613 Å
α = 90.00°, β = 106.26°, γ = 90.00°
Space group C2/m (No. 12)
Asymmetric unit:
Tm  0.176  0.000  0.089
In  0.015  0.500  0.220
Pb  0.136  0.000  0.546
Se  0.000  0.000  0.000
Se  0.000  0.500  0.500
Se  0.164  0.500  0.877
Se  0.190  0.500  0.305

***

8.
The following is a PBE-GGA calculation of a relaxed structure of HfBOs2, from the Open Quantum Materials Database.

Properties
Calculated volume: 14.42 A^3/atom
Final energy: -9.1848 eV per atom

a = 6.133 Å, b = 6.133 Å, c = 6.133 Å
α = 90.00°, β = 90.00°, γ = 90.00°
Space group F-43m (No. 216)
Asymmetric unit:
Hf  0.000  0.000  0.000
B  0.250  0.250  0.750
Os  0.000  0.000  0.500
Os  0.250  0.250  0.250

***

9.
The following is a PBE-GGA calculation of a relaxed structure of LiNbAu2, from the Open Quantum Materials Database.

Properties
Calculated volume: 16.39 A^3/atom
Final energy: -4.7029 eV per atom

a = 6.401 Å, b = 6.401 Å, c = 6.401 Å
α = 90.00°, β = 90.00°, γ = 90.00°
Space group F-43m (No. 216)
Asymmetric unit:
Li  0.000  0.000  0.000
Nb  0.250  0.250  0.250
Au  0.000  0.000  0.500
Au  0.250  0.250  0.750

***

10.
The following is a PBE-GGA calculation of a relaxed structure of KDyCdTe3, from the Open Quantum Materials Database.

Properties
Calculated volume: 34.51 A^3/atom
Polymorph energy (0 for the lowest one): 0.091 eV/atom

a = 19.447 Å, b = 4.477 Å, c = 9.782 Å
α = 90.00°, β = 103.45°, γ = 90.00°
Space group C2/m (No. 12)
Asymmetric unit:
K  0.140  0.000  0.068
Dy  0.176  0.000  0.586
Cd  0.019  0.500  0.720
Te  0.000  0.000  0.500
Te  0.000  0.500  0.000
Te  0.164  0.500  0.364
Te  0.172  0.500  0.800

***

11.
The following is a PBE-GGA calculation of a relaxed structure of Ni3Bi2S2, from the Open Quantum Materials Database.

Properties
Calculated volume: 18.54 A^3/atom
Polymorph energy (0 for the lowest one): 0.002 eV/atom

a = 11.155 Å, b = 8.071 Å, c = 8.008 Å
α = 90.00°, β = 133.94°, γ = 90.00°
Space group C2/m (No. 12)
Asymmetric unit:
Ni  0.000  0.234  0.000
Ni  0.016  0.500  0.280
Ni  0.250  0.250  0.000
Bi  0.236  0.500  0.229
Bi  0.250  0.000  0.248
S  0.020  0.229  0.291

***

12.
The following is a PBE-GGA calculation of a relaxed structure of Gd5YEr2, from the Open Quantum Materials Database.

Properties
ΔH_f (0 K): 0.010 eV/atom
Calculated volume: 32.29 A^3/atom

a = 5.665 Å, b = 7.259 Å, c = 12.566 Å
α = 90.00°, β = 90.00°, γ = 90.00°
Space group Amm2 (No. 38)
Asymmetric unit:
Gd  0.000  0.000  0.000
Gd  0.000  0.249  0.750
Gd  0.500  0.250  0.083
Y  0.500  0.000  0.334
Er  0.000  0.000  0.501
Er  0.500  0.000  0.834

***

13.
The following is a PBE-GGA calculation of a relaxed structure of CuAs5W3, from the Open Quantum Materials Database.

Properties
Calculated volume: 21.10 A^3/atom
Final energy: -6.8935 eV per atom

a = 5.3708 Å, b = 5.3708 Å, c = 7.6018 Å
α = 90.00°, β = 90.00°, γ = 120.00°
Space group P6/mmm (No. 191)
Asymmetric unit:
Cu  0.0000  0.0000  0.0000
As  0.0000  0.0000  0.5000
As  0.3333  0.6667  0.2135
W  0.0000  0.5000  0.5000

***

14.
The following is a PBE-GGA calculation of a relaxed structure of Ta2Co3Ge, from the Open Quantum Materials Database.

Properties
Calculated volume: 13.17 A^3/atom
Final energy: -8.6138 eV per atom

a = 4.8857 Å, b = 4.8857 Å, c = 7.6433 Å
α = 90.00°, β = 90.00°, γ = 120.00°
Space group P6_3/mmc (No. 194)
Asymmetric unit:
Ta  0.3333  0.6667  0.0604
Co  0.1718  0.3435  0.7500
Ge  0.0000  0.0000  0.0000

***

15.
The following is a PBE-GGA calculation of a relaxed structure of NaPrAgSe3, from the Open Quantum Materials Database.

Properties
Calculated volume: 26.55 A^3/atom
Final energy: -4.2513 eV per atom

a = 4.174 Å, b = 13.752 Å, c = 11.100 Å
α = 90.00°, β = 90.00°, γ = 90.00°
Space group Cmcm (No. 63)
Asymmetric unit:
Na  0.000  0.241  0.250
Pr  0.000  0.000  0.000
Ag  0.000  0.473  0.750
Se  0.000  0.092  0.750
Se  0.000  0.354  0.567

***

16.
The following is a PBE-GGA calculation of a relaxed structure of NpIn, from the Open Quantum Materials Database.

Properties
Calculated volume: 23.09 A^3/atom
Final energy: -7.6443 eV per atom

a = 5.723 Å, b = 3.070 Å, c = 5.256 Å
α = 90.00°, β = 90.00°, γ = 90.00°
Space group Amm2 (No. 38)
Asymmetric unit:
Np  0.000  0.000  0.000
In  0.500  0.000  0.334

***

17.
The following is a PBE-GGA calculation of a relaxed structure of SiNiHgOs, from the Open Quantum Materials Database.

Properties
Calculated volume: 15.15 A^3/atom
Final energy: -4.7329 eV per atom

a = 6.236 Å, b = 6.236 Å, c = 6.236 Å
α = 90.00°, β = 90.00°, γ = 90.00°
Space group F-43m (No. 216)
Asymmetric unit:
Si  0.000  0.000  0.000
Ni  0.250  0.250  0.250
Hg  0.250  0.250  0.750
Os  0.000  0.000  0.500

***

18.
The following is a PBE-GGA calculation of a relaxed structure of SmGdSe2F2, from the Open Quantum Materials Database.

Properties
Calculated volume: 18.02 A^3/atom
Final energy: -6.2234 eV per atom

a = 3.908 Å, b = 3.908 Å, c = 7.078 Å
α = 90.00°, β = 90.00°, γ = 90.00°
Space group P4mm (No. 99)
Asymmetric unit:
Sm  0.000  0.000  0.000
Gd  0.500  0.500  0.434
Se  0.000  0.000  0.575
Se  0.500  0.500  0.857
F  0.000  0.500  0.218

***

19.
The following is a PBE-GGA calculation of a relaxed structure of NaFe2Te3, from the Open Quantum Materials Database.

Properties
Calculated volume: 22.70 A^3/atom
Polymorph energy (0 for the lowest one): 0.000 eV/atom

a = 8.011 Å, b = 3.743 Å, c = 9.778 Å
α = 90.00°, β = 111.69°, γ = 90.00°
Space group P2_1/m (No. 11)
Asymmetric unit:
Na  0.247  0.250  0.215
Fe  0.193  0.750  0.668
Fe  0.435  0.250  0.905
Te  0.045  0.750  0.379
Te  0.223  0.750  0.938
Te  0.401  0.250  0.635

***

20.
The following is a PBE-GGA calculation of a relaxed structure of KNbAgAu, from the Open Quantum Materials Database.

Properties
Calculated volume: 22.36 A^3/atom
Polymorph energy (0 for the lowest one): 0.223 eV/atom

a = 7.099 Å, b = 7.099 Å, c = 7.099 Å
α = 90.00°, β = 90.00°, γ = 90.00°
Space group F-43m (No. 216)
Asymmetric unit:
K  0.000  0.000  0.000
Nb  0.250  0.250  0.750
Ag  0.000  0.000  0.500
Au  0.250  0.250  0.250

***

21.
The following is a PBE-GGA calculation of a relaxed structure of SrLaSm, from the Open Quantum Materials Database.

Properties
Calculated volume: 47.20 A^3/atom
Polymorph energy (0 for the lowest one): 0.000 eV/atom

a = 8.274 Å, b = 8.274 Å, c = 8.274 Å
α = 90.00°, β = 90.00°, γ = 90.00°
Space group F-43m (No. 216)
Asymmetric unit:
Sr  0.000  0.000  0.000
La  0.000  0.000  0.500
Sm  0.250  0.250  0.750

***

22.
The following is a PBE-GGA calculation of a relaxed structure of Hf2FeC, from the Open Quantum Materials Database.

Properties
Calculated volume: 14.64 A^3/atom
Final energy: -9.7357 eV per atom

a = 9.607 Å, b = 5.541 Å, c = 13.601 Å
α = 90.00°, β = 103.90°, γ = 90.00°
Space group C2/c (No. 15)
Asymmetric unit:
Hf  0.045  0.083  0.388
Hf  0.116  0.415  0.596
Hf  0.218  0.417  0.904
Fe  0.000  0.422  0.750
Fe  0.244  0.161  0.749
C  0.080  0.241  0.000
C  0.250  0.250  0.500

***

23.
The following is a PBE-GGA calculation of a relaxed structure of FeB4, from the Open Quantum Materials Database.

Properties
Calculated volume: 6.93 A^3/atom
Final energy: -6.9363 eV per atom

a = 3.6876 Å, b = 3.6876 Å, c = 8.8209 Å
α = 90.00°, β = 90.00°, γ = 120.00°
Space group P-6m2 (No. 187)
Asymmetric unit:
Fe  0.0000  0.0000  0.0000
Fe  0.6667  0.3333  0.3605
B  0.0037  0.5019  0.1612
B  0.1566  0.3131  0.5000
B  0.3333  0.6667  0.3330
B  0.6667  0.3333  0.0000

***

24.
The following is a PBE-GGA calculation of a relaxed structure of HoCuSnS3, from the Open Quantum Materials Database.

Properties
Calculated volume: 21.49 A^3/atom
Final energy: -5.1005 eV per atom

a = 17.415 Å, b = 3.870 Å, c = 7.873 Å
α = 90.00°, β = 103.51°, γ = 90.00°
Space group C2/m (No. 12)
Asymmetric unit:
Ho  0.162  0.000  0.081
Cu  0.036  0.500  0.206
Sn  0.125  0.000  0.565
S  0.000  0.000  0.000
S  0.000  0.500  0.500
S  0.172  0.500  0.322
S  0.176  0.500  0.849